DFT (PBE) results for BaTmSn after structural relaxation.

Values from the calculation:
Crystal system: cubic
Energy in eV per atom: -3.44

Cell lengths 7.568, 7.568, 7.568 Å; angles 90.00, 90.00, 90.00 degrees
Space group F-43m (No. 216)
One atom of each set of equivalent atoms:
Ba  0.000  0.000  0.000 (multiplicity 4)
Tm  0.250  0.250  0.250 (multiplicity 4)
Sn  0.000  0.000  0.500 (multiplicity 4)

DFT (PBE) results for BaUSn after structural relaxation.

Values from the calculation:
Crystal system: cubic
Energy in eV per atom: -5.17

Cell lengths 7.841, 7.841, 7.841 Å; angles 90.00, 90.00, 90.00 degrees
Space group F-43m (No. 216)
One atom of each set of equivalent atoms:
Ba  0.000  0.000  0.000 (multiplicity 4)
U  0.000  0.000  0.500 (multiplicity 4)
Sn  0.250  0.250  0.250 (multiplicity 4)

DFT (PBE) results for Ba5SnW5 after structural relaxation.

Values from the calculation:
Crystal system: hexagonal
Energy in eV per atom: -6.56

Cell lengths 5.9939, 5.9939, 11.3292 Å; angles 90.00, 90.00, 120.00 degrees
Space group P-6m2 (No. 187)
One atom of each set of equivalent atoms:
Ba  0.0000  0.0000  0.0000 (multiplicity 1)
Ba  0.3333  0.6667  0.1962 (multiplicity 2)
Ba  0.6667  0.3333  0.3221 (multiplicity 2)
Sn  0.6667  0.3333  0.0000 (multiplicity 1)
W  0.0000  0.0000  0.3485 (multiplicity 2)
W  0.1820  0.3641  0.5000 (multiplicity 3)

Which value of energy does entry 2 give?
-5.17 eV per atom